Entry 1:
Zr2NbHIr (GGA-PBE, relaxed); crystal system = tetragonal; excess energy over the best structure of this formula in the dataset = 0.00 kJ/mol of atoms; DOS(E_F) = 0.863 states/eV/atom; symmetry = P4/mmm, No. 123
1.0
-3.917 -1.778 -1.754
2.478 -3.177 -2.313
-0.246 -2.260 2.841
H Nb Ir Zr
1 1 1 2
direct
0.000 0.000 0.000
0.000 0.000 0.500
0.500 0.500 0.500
0.000 0.500 0.000
0.500 0.000 0.000



Entry 2:
Nd2HIr (GGA-PBE, relaxed); crystal system = trigonal; excess energy over the best structure of this formula in the dataset = 8.19 kJ/mol of atoms; DOS(E_F) = 0.373 states/eV/atom; symmetry = R-3m, No. 166
1.0
-1.706 0.299 3.704
-2.989 -2.570 1.088
2.610 -4.664 3.836
H Ir Nd
1 1 2
direct
0.500 0.500 0.500
0.000 0.000 0.000
0.247 0.247 0.260
0.753 0.753 0.740



Entry 3:
Nd2HIr (GGA-PBE, relaxed); crystal system = tetragonal; excess energy over the best structure of this formula in the dataset = 26.90 kJ/mol of atoms; DOS(E_F) = 0.924 states/eV/atom; symmetry = P4/mmm, No. 123
1.0
3.362 0.000 0.000
0.000 3.362 0.000
0.000 0.000 7.271
H Ir Nd
1 1 2
direct
0.500 0.500 0.000
0.500 0.500 0.500
0.000 0.000 0.750
0.000 0.000 0.250



Entry 4:
NdH3Ir (GGA-PBE, relaxed); crystal system = monoclinic; DOS(E_F) = 0.012 states/eV/atom; electronic total energy = -26.378 eV/f.u.; symmetry = Cm, No. 8
1.0
-3.352 2.071 0.452
-0.671 -2.031 4.330
4.685 3.246 2.460
Nd H Ir
2 6 2
direct
0.195 0.969 0.746
0.934 0.462 0.223
0.750 0.225 0.855
0.625 0.809 0.604
0.375 0.718 0.105
0.980 0.959 0.314
0.378 0.208 0.111
0.144 0.463 0.644
0.640 0.456 0.634
0.478 0.956 0.312



no.,density (kg/m³)
1,9907
2,8998
3,9732
4,10011